[1]
Tb2B6Ru (SCAN, single point on PBEsol structure); E = -19.949 eV/atom; energy of formation = -16.95 kcal/mol of atoms; total magnetization = 0.000 μB/f.u.
1.0
-0.735 -0.311 3.600
-4.229 -8.000 -1.555
9.986 -5.581 1.556
B Ru Tb
24 4 8
direct
0.500 0.867 0.685
0.500 0.247 0.080
0.500 0.133 0.315
0.500 0.888 0.531
0.500 0.710 0.767
0.500 0.985 0.213
0.500 0.112 0.469
0.500 0.015 0.787
0.500 0.446 0.567
0.500 0.747 0.420
0.500 0.054 0.067
0.500 0.946 0.933
0.500 0.253 0.580
0.500 0.753 0.920
0.500 0.790 0.267
0.500 0.388 0.969
0.500 0.515 0.713
0.500 0.290 0.233
0.500 0.612 0.031
0.500 0.210 0.733
0.500 0.554 0.433
0.500 0.633 0.185
0.500 0.367 0.815
0.500 0.485 0.287
0.000 0.362 0.679
0.000 0.862 0.821
0.000 0.638 0.321
0.000 0.138 0.179
0.000 0.177 0.914
0.000 0.556 0.873
0.000 0.056 0.627
0.000 0.823 0.086
0.000 0.444 0.127
0.000 0.677 0.586
0.000 0.944 0.373
0.000 0.323 0.414

[2]
MgCuTe2 (SCAN, single point on PBEsol structure); offset from the most stable computed form = 357 meV per atom; E = -23.601 eV/atom; raw formation energy = 0.07 eV per atom; total magnetization = 0.000 μB/f.u.
1.0
-0.644 1.957 -3.100
-1.650 -2.966 -1.530
-5.529 1.874 2.331
Te Mg Cu
2 1 1
direct
0.000 0.000 0.757
0.000 0.000 0.243
0.500 0.500 0.500
0.500 0.500 0.000

[3]
PbN2Cl (SCAN, single point on PBEsol structure); offset from the most stable computed form = 0 meV per atom; E = -23.606 eV/atom; raw formation energy = 1.98 eV per atom; total magnetization = 4.640 μB/f.u.
1.0
-2.422 -0.922 3.392
1.744 -1.855 3.427
0.465 2.214 3.620
N Cl Pb
2 1 1
direct
0.750 0.750 0.750
0.250 0.250 0.250
0.000 0.000 0.000
0.500 0.500 0.500

[4]
Mo2RuRh (SCAN, single point on PBEsol structure); offset from the most stable computed form = 13 meV per atom; E = -34.657 eV/atom; energy of formation = -1.50 kcal/mol of atoms; total magnetization = 0.000 μB/f.u.
1.0
2.729 0.000 0.000
0.000 4.700 0.003
0.000 -1.526 4.445
Mo Rh Ru
2 1 1
direct
0.000 0.500 0.000
0.000 0.000 0.500
0.500 0.000 0.000
0.500 0.500 0.500

[5]
Rb3PdF (SCAN, single point on PBEsol structure); E = -20.787 eV/atom; raw formation energy = -1.08 eV per atom; total magnetization = 0.155 μB/f.u.
1.0
5.370 0.000 0.000
0.000 5.370 0.000
0.000 0.000 5.370
F Pd Rb
1 1 3
direct
0.000 0.000 0.000
0.500 0.500 0.500
0.000 0.500 0.000
0.000 0.000 0.500
0.500 0.000 0.000

[6]
ZnAgRu2 (SCAN, single point on PBEsol structure); E = -28.257 eV/atom; energy of formation = 8.68 kcal/mol of atoms; total magnetization = 2.090 μB/f.u.
1.0
-1.268 0.691 -2.205
-1.523 -0.689 2.037
-0.164 8.668 2.811
Zn Ru Ag
1 2 1
direct
0.500 0.500 0.500
0.000 0.000 0.264
0.000 0.000 0.736
0.500 0.500 0.000